NaAcGdBi | PBE | relaxed

Properties
Crystal system = cubic
Calculated volume = 135 Å³ per cell
Energy relative to the elements = -0.241 eV per atom

a b c (Å): 5.757 5.757 5.757
angles (deg): 60.00 60.00 60.00
Site moments in Bohr magnetons follow the coordinates.
Fractional coordinates of all 4 atoms:
Na 0.500 0.500 0.500  0.00
Gd 0.750 0.750 0.750  7.40
Ac 0.250 0.250 0.250  0.23
Bi 0.000 0.000 0.000  -0.04

AcNdGdBi | PBE | relaxed

Properties
Crystal system = cubic
Calculated volume = 132 Å³ per cell
Energy relative to the elements = -0.200 eV per atom

a b c (Å): 5.708 5.708 5.708
angles (deg): 60.00 60.00 60.00
Site moments in Bohr magnetons follow the coordinates.
Fractional coordinates of all 4 atoms:
Ac 0.750 0.750 0.750  -0.02
Nd 0.500 0.500 0.500  0.06
Bi 0.250 0.250 0.250  0.03
Gd 0.000 0.000 0.000  -7.13

AcPmGdBi | PBE | relaxed

Properties
Crystal system = cubic
Calculated volume = 131 Å³ per cell
Energy relative to the elements = -0.193 eV per atom

a b c (Å): 5.693 5.693 5.693
angles (deg): 60.00 60.00 60.00
Site moments in Bohr magnetons follow the coordinates.
Fractional coordinates of all 4 atoms:
Bi 0.750 0.750 0.750  -0.02
Gd 0.500 0.500 0.500  7.13
Ac 0.250 0.250 0.250  0.03
Pm 0.000 0.000 0.000  -0.06

AcGdBiPt | PBE | relaxed

Properties
Crystal system = cubic
Calculated volume = 116 Å³ per cell
Energy relative to the elements = -0.737 eV per atom

a b c (Å): 5.473 5.473 5.473
angles (deg): 60.00 60.00 60.00
Site moments in Bohr magnetons follow the coordinates.
Fractional coordinates of all 4 atoms:
Pt 0.250 0.250 0.250  0.00
Gd 0.000 0.000 0.000  7.09
Bi 0.750 0.750 0.750  -0.04
Ac 0.500 0.500 0.500  0.08

AcGdBiRh | PBE | relaxed

Properties
Crystal system = cubic
Calculated volume = 114 Å³ per cell
Energy relative to the elements = -0.510 eV per atom

a b c (Å): 5.435 5.435 5.435
angles (deg): 60.00 60.00 60.00
Site moments in Bohr magnetons follow the coordinates.
Fractional coordinates of all 4 atoms:
Bi 0.750 0.750 0.750  0.06
Gd 0.500 0.500 0.500  -7.00
Rh 0.250 0.250 0.250  0.10
Ac 0.000 0.000 0.000  -0.01

AcGdBiSb | PBE | relaxed

Properties
Crystal system = cubic
Calculated volume = 129 Å³ per cell
Uncorrected formation energy = -0.7982 eV per atom

a b c (Å): 5.673 5.673 5.673
angles (deg): 60.00 60.00 60.00
Site moments in Bohr magnetons follow the coordinates.
Fractional coordinates of all 4 atoms:
Sb 0.000 0.000 0.000  -0.04
Gd 0.750 0.750 0.750  7.05
Bi 0.500 0.500 0.500  -0.07
Ac 0.250 0.250 0.250  0.03

AcGdSnBi | PBE | relaxed

Properties
Crystal system = cubic
Calculated volume = 130 Å³ per cell
Energy relative to the elements = -0.602 eV per atom

a b c (Å): 5.683 5.683 5.683
angles (deg): 60.00 60.00 60.00
Site moments in Bohr magnetons follow the coordinates.
Fractional coordinates of all 4 atoms:
Bi 0.750 0.750 0.750  0.00
Gd 0.000 0.000 0.000  7.09
Sn 0.250 0.250 0.250  0.00
Ac 0.500 0.500 0.500  0.03

AcGdBiTe | PBE | relaxed

Properties
Crystal system = cubic
Calculated volume = 129 Å³ per cell
Uncorrected formation energy = -1.0138 eV per atom

a b c (Å): 5.673 5.673 5.673
angles (deg): 60.00 60.00 60.00
Site moments in Bohr magnetons follow the coordinates.
Fractional coordinates of all 4 atoms:
Bi 0.750 0.750 0.750  0.05
Gd 0.000 0.000 0.000  -7.19
Ac 0.500 0.500 0.500  -0.11
Te 0.250 0.250 0.250  0.02

Ac2Ge2Bi | PBE | relaxed

Properties
Crystal system = tetragonal
Calculated volume = 302 Å³ per cell
Energy relative to the elements = -0.720 eV per atom
Relative energy among the computed polymorphs = 2.4 kJ/mol of atoms

a b c (Å): 4.613 8.086 8.086
angles (deg): 90.00 90.00 90.00
Fractional coordinates of all 10 atoms:
Ac 0.500 0.678 0.822
Ge 0.000 0.885 0.615
Ge 0.000 0.115 0.385
Ac 0.500 0.822 0.322
Bi 0.000 0.500 0.500
Ac 0.500 0.178 0.678
Ge 0.000 0.385 0.885
Bi 0.000 0.000 0.000
Ge 0.000 0.615 0.115
Ac 0.500 0.322 0.178

Ac4GeBi3 | PBE | relaxed

Properties
Crystal system = cubic
Calculated volume = 317 Å³ per cell
Energy relative to the elements = -0.856 eV per atom

a b c (Å): 6.817 6.817 6.817
angles (deg): 90.00 90.00 90.00
Fractional coordinates of all 8 atoms:
Bi 0.500 0.500 0.000
Ge 0.000 0.000 0.000
Ac 0.500 0.000 0.000
Ac 0.500 0.500 0.500
Bi 0.500 0.000 0.500
Bi 0.000 0.500 0.500
Ac 0.000 0.000 0.500
Ac 0.000 0.500 0.000

AcGe2Bi | PBE | relaxed

Properties
Crystal system = trigonal
Calculated volume = 116 Å³ per cell
Energy relative to the elements = -0.257 eV per atom
Relative energy among the computed polymorphs = 9.6 kJ/mol of atoms

a b c (Å): 5.059 5.059 5.978
angles (deg): 64.97 64.97 60.00
Fractional coordinates of all 4 atoms:
Ge 0.289 0.289 0.134
Ge 0.711 0.711 0.866
Bi 0.000 0.000 0.000
Ac 0.500 0.500 0.500

Ac8Ge5Bi | PBE | relaxed

Properties
Crystal system = tetragonal
Calculated volume = 480 Å³ per cell
Energy relative to the elements = -0.725 eV per atom

a b c (Å): 8.545 8.545 8.545
angles (deg): 109.22 109.98 109.22
Fractional coordinates of all 14 atoms:
Ac 0.256 0.243 0.359
Ge 0.876 0.880 0.253
Ac 0.987 0.104 0.744
Ac 0.746 0.249 0.373
Ac 0.503 0.627 0.254
Ac 0.627 0.373 0.875
Ac 0.641 0.896 0.883
Ac 0.125 0.751 0.497
Bi 0.250 0.500 0.750
Ac 0.117 0.757 0.013
Ge 0.373 0.120 0.997
Ge 0.500 0.000 0.500
Ge 0.003 0.376 0.124
Ge 0.747 0.624 0.627

- calculated volume of number 8 (AcGdBiTe)?
  129 Å³ per cell

- Number 1 is which compound?
  NaAcGdBi

- Among the records above, which one has the highest calculated volume?
  Ac8Ge5Bi